(1)
Entry from the Alexandria database: RePtN after structural relaxation (PBE-GGA).

Calculated values
Calculated volume (Å³ per cell): 166.4
ΔE_f (raw) (eV/atom): 0.2705

Unit cell a=9.398 b=2.764 c=6.681 alpha=90.00 beta=106.54 gamma=90.00
Space group Cm (No. 8)
Symmetry-distinct sites (fractional):
Re (0.000, 0.000, 0.000)
Re (0.219, 0.500, 0.277)
Pt (0.204, 0.500, 0.861)
Pt (0.385, 0.000, 0.641)
N (0.383, 0.000, 0.325)
N (0.492, 0.000, 0.226)

=====

(2)
Entry from the Alexandria database: BeInTcCl2 after structural relaxation (PBE-GGA).

Calculated values
Calculated volume (Å³ per cell): 102.2
ΔE_f (raw) (eV/atom): 0.3542

Unit cell a=4.264 b=4.264 c=5.619 alpha=90.00 beta=90.00 gamma=90.00
Space group P4/mmm (No. 123)
Symmetry-distinct sites (fractional):
Be (0.000, 0.000, 0.000)
In (0.500, 0.500, 0.500)
Tc (0.000, 0.000, 0.500)
Cl (0.000, 0.500, 0.000)

=====

(3)
Entry from the Alexandria database: MnCu4Pd5 after structural relaxation (PBE-GGA).

Calculated values
Calculated volume (Å³ per cell): 305.0
Calculated formation energy (eV per atom): 0.14

Unit cell a=7.929 b=7.929 c=4.851 alpha=90.00 beta=90.00 gamma=90.00
Space group I4 (No. 79)
Symmetry-distinct sites (fractional):
Mn (0.000, 0.000, 0.000)
Cu (0.061, 0.356, 0.725)
Pd (0.000, 0.000, 0.526)
Pd (0.145, 0.250, 0.227)

=====

(4)
Entry from the Alexandria database: Pr3HoTh2P6 after structural relaxation (PBE-GGA).

Calculated values
Calculated volume (Å³ per cell): 606.8
Calculated formation energy (eV per atom): -1.56

Unit cell a=18.108 b=4.153 c=8.298 alpha=90.00 beta=103.51 gamma=90.00
Space group C2/m (No. 12)
Symmetry-distinct sites (fractional):
Pr (0.000, 0.000, 0.000)
Pr (0.166, 0.500, 0.334)
Ho (0.000, 0.000, 0.500)
Th (0.165, 0.500, 0.830)
P (0.001, 0.500, 0.742)
P (0.163, 0.000, 0.586)
P (0.169, 0.000, 0.079)

=====

(5)
Entry from the Alexandria database: CsLiHgF4 after structural relaxation (PBE-GGA).

Calculated values
Calculated volume (Å³ per cell): 253.7
ΔE_f (raw) (eV/atom): -2.2302

Unit cell a=5.659 b=5.935 c=7.619 alpha=90.00 beta=97.59 gamma=90.00
Space group P2_1/m (No. 11)
Symmetry-distinct sites (fractional):
Cs (0.229, 0.250, 0.087)
Li (0.344, 0.250, 0.672)
Hg (0.185, 0.750, 0.456)
F (0.119, 0.014, 0.689)
F (0.362, 0.750, 0.183)
F (0.426, 0.250, 0.445)

=====

(6)
Entry from the Alexandria database: Sn3BiRh after structural relaxation (PBE-GGA).

Calculated values
Calculated volume (Å³ per cell): 138.8
Calculated formation energy (eV per atom): -0.06

Unit cell a=5.178 b=5.178 c=5.178 alpha=90.00 beta=90.00 gamma=90.00
Space group Pm-3m (No. 221)
Symmetry-distinct sites (fractional):
Sn (0.000, 0.000, 0.500)
Bi (0.500, 0.500, 0.500)
Rh (0.000, 0.000, 0.000)

=====

(7)
Entry from the Alexandria database: Pr6ScCd after structural relaxation (PBE-GGA).

Calculated values
Calculated volume (Å³ per cell): 308.7
Calculated formation energy (eV per atom): 0.37

Unit cell a=6.530 b=6.539 c=9.144 alpha=110.75 beta=90.14 gamma=119.90
Space group P-1 (No. 2)
Symmetry-distinct sites (fractional):
Pr (0.049, 0.482, 0.287)
Pr (0.192, 0.145, 0.712)
Pr (0.437, 0.242, 0.287)
Sc (0.500, 0.000, 0.500)
Cd (0.000, 0.000, 0.000)

=====

(8)
Entry from the Alexandria database: TaPd2Rh after structural relaxation (PBE-GGA).

Calculated values
Calculated volume (Å³ per cell): 122.8
Calculated formation energy (eV per atom): -0.46

Unit cell a=3.886 b=3.886 c=8.128 alpha=90.00 beta=90.00 gamma=90.00
Space group I4/mmm (No. 139)
Symmetry-distinct sites (fractional):
Ta (0.000, 0.000, 0.000)
Pd (0.000, 0.500, 0.250)
Rh (0.000, 0.000, 0.500)

=====

(9)
Entry from the Alexandria database: ScAl4Cr after structural relaxation (PBE-GGA).

Calculated values
Calculated volume (Å³ per cell): 404.6
Calculated formation energy (eV per atom): -0.13

Unit cell a=12.680 b=6.676 c=4.982 alpha=90.00 beta=106.37 gamma=90.00
Space group C2/m (No. 12)
Symmetry-distinct sites (fractional):
Sc (0.214, 0.000, 0.137)
Al (0.000, 0.199, 0.000)
Al (0.120, 0.192, 0.567)
Al (0.156, 0.500, 0.261)
Cr (0.051, 0.500, 0.727)

=====

(10)
Entry from the Alexandria database: CuSn2Au after structural relaxation (PBE-GGA).

Calculated values
Calculated volume (Å³ per cell): 177.6
Calculated formation energy (eV per atom): -0.01

Unit cell a=7.675 b=4.361 c=5.876 alpha=90.00 beta=115.41 gamma=90.00
Space group Cm (No. 8)
Symmetry-distinct sites (fractional):
Cu (0.000, 0.000, 0.000)
Sn (0.192, 0.000, 0.556)
Sn (0.388, 0.000, 0.170)
Au (0.105, 0.500, 0.803)

=====

(11)
Entry from the Alexandria database: ZrCrN3 after structural relaxation (PBE-GGA).

Calculated values
Calculated volume (Å³ per cell): 70.6
ΔE_f (raw) (eV/atom): 1.2770

Unit cell a=4.133 b=4.133 c=4.133 alpha=90.00 beta=90.00 gamma=90.00
Space group Pm-3m (No. 221)
Symmetry-distinct sites (fractional):
Zr (0.000, 0.000, 0.000)
Cr (0.500, 0.500, 0.500)
N (0.000, 0.000, 0.500)

=====

(12)
Entry from the Alexandria database: Mn2CoBr6 after structural relaxation (PBE-GGA).

Calculated values
Calculated volume (Å³ per cell): 1317.1
ΔE_f (raw) (eV/atom): -0.5786

Unit cell a=14.286 b=14.700 c=6.908 alpha=90.00 beta=114.78 gamma=90.00
Space group C2/c (No. 15)
Symmetry-distinct sites (fractional):
Mn (0.226, 0.082, 0.399)
Co (0.000, 0.286, 0.250)
Br (0.094, 0.380, 0.557)
Br (0.110, 0.198, 0.137)
Br (0.191, 0.075, 0.726)

=====

Question: What is the calculated volume in the eighth record?
Answer: 122.8 Å³ per cell

=====

Question: Which formula does entry 11 have?
Answer: ZrCrN3